# TbPrSi2Pd5 (PBE, relaxed)
# E_form (uncorrected) ... -0.882 eV per atom
data_TbPrSi2Pd5
_cell_length_a 4.2340
_cell_length_b 4.2340
_cell_length_c 9.0467
_cell_angle_alpha 90.00
_cell_angle_beta 90.00
_cell_angle_gamma 90.00
_space_group_name_H-M_alt 'P 1'
_space_group_IT_number 1
_space_group_name_Hall 'P 1'
loop_
_atom_site_label
_atom_site_type_symbol
_atom_site_fract_x
_atom_site_fract_y
_atom_site_fract_z
Tb1 Tb 0.0000 0.0000 0.0000
Pr1 Pr 0.0000 0.0000 0.5000
Si1 Si 0.5000 0.5000 0.1304
Si2 Si 0.5000 0.5000 0.8696
Pd1 Pd 0.0000 0.5000 0.2623
Pd2 Pd 0.0000 0.5000 0.7377
Pd3 Pd 0.5000 0.0000 0.2623
Pd4 Pd 0.5000 0.0000 0.7377
Pd5 Pd 0.5000 0.5000 0.5000



# PrTmSi2Pd2 (PBE, relaxed)
# E_form (uncorrected) ... -0.918 eV per atom
data_PrTmSi2Pd2
_cell_length_a 4.3597
_cell_length_b 4.3597
_cell_length_c 7.3248
_cell_angle_alpha 90.00
_cell_angle_beta 90.00
_cell_angle_gamma 120.00
_space_group_name_H-M_alt 'P 1'
_space_group_IT_number 1
_space_group_name_Hall 'P 1'
loop_
_atom_site_label
_atom_site_type_symbol
_atom_site_fract_x
_atom_site_fract_y
_atom_site_fract_z
Pr1 Pr 0.0000 0.0000 0.0000
Tm1 Tm 0.0000 0.0000 0.5000
Si1 Si 0.3333 0.6667 0.2745
Si2 Si 0.6667 0.3333 0.7255
Pd1 Pd 0.3333 0.6667 0.7043
Pd2 Pd 0.6667 0.3333 0.2957



# PrTmSiPd (PBE, relaxed)
# E_form (uncorrected) ... -0.651 eV per atom
data_PrTmSiPd
_cell_length_a 7.1556
_cell_length_b 7.1556
_cell_length_c 7.1556
_cell_angle_alpha 90.00
_cell_angle_beta 90.00
_cell_angle_gamma 90.00
_space_group_name_H-M_alt 'P 1'
_space_group_IT_number 1
_space_group_name_Hall 'P 1'
loop_
_atom_site_label
_atom_site_type_symbol
_atom_site_fract_x
_atom_site_fract_y
_atom_site_fract_z
Pr1 Pr 0.0000 0.0000 0.0000
Pr2 Pr 0.0000 0.5000 0.5000
Pr3 Pr 0.5000 0.0000 0.5000
Pr4 Pr 0.5000 0.5000 0.0000
Tm1 Tm 0.0000 0.0000 0.5000
Tm2 Tm 0.0000 0.5000 0.0000
Tm3 Tm 0.5000 0.0000 0.0000
Tm4 Tm 0.5000 0.5000 0.5000
Si1 Si 0.2500 0.2500 0.2500
Si2 Si 0.2500 0.7500 0.7500
Si3 Si 0.7500 0.2500 0.7500
Si4 Si 0.7500 0.7500 0.2500
Pd1 Pd 0.2500 0.2500 0.7500
Pd2 Pd 0.2500 0.7500 0.2500
Pd3 Pd 0.7500 0.2500 0.2500
Pd4 Pd 0.7500 0.7500 0.7500



# Pr2TmSi3Pd4 (PBE, relaxed)
# E_form (uncorrected) ... -0.878 eV per atom
data_Pr2TmSi3Pd4
_cell_length_a 4.2905
_cell_length_b 4.2905
_cell_length_c 10.7717
_cell_angle_alpha 90.00
_cell_angle_beta 90.00
_cell_angle_gamma 90.00
_space_group_name_H-M_alt 'P 1'
_space_group_IT_number 1
_space_group_name_Hall 'P 1'
loop_
_atom_site_label
_atom_site_type_symbol
_atom_site_fract_x
_atom_site_fract_y
_atom_site_fract_z
Pr1 Pr 0.0000 0.5000 0.2272
Pr2 Pr 0.5000 0.0000 0.7728
Tm1 Tm 0.0000 0.0000 0.5000
Si1 Si 0.0000 0.5000 0.8811
Si2 Si 0.5000 0.0000 0.1189
Si3 Si 0.5000 0.5000 0.5000
Pd1 Pd 0.0000 0.0000 0.0000
Pd2 Pd 0.0000 0.5000 0.6559
Pd3 Pd 0.5000 0.0000 0.3441
Pd4 Pd 0.5000 0.5000 0.0000



# PrYSiPd (PBE, relaxed)
# E_form (uncorrected) ... -0.653 eV per atom
data_PrYSiPd
_cell_length_a 7.2071
_cell_length_b 7.2071
_cell_length_c 7.2071
_cell_angle_alpha 90.00
_cell_angle_beta 90.00
_cell_angle_gamma 90.00
_space_group_name_H-M_alt 'P 1'
_space_group_IT_number 1
_space_group_name_Hall 'P 1'
loop_
_atom_site_label
_atom_site_type_symbol
_atom_site_fract_x
_atom_site_fract_y
_atom_site_fract_z
Pr1 Pr 0.0000 0.0000 0.0000
Pr2 Pr 0.0000 0.5000 0.5000
Pr3 Pr 0.5000 0.0000 0.5000
Pr4 Pr 0.5000 0.5000 0.0000
Y1 Y 0.0000 0.0000 0.5000
Y2 Y 0.0000 0.5000 0.0000
Y3 Y 0.5000 0.0000 0.0000
Y4 Y 0.5000 0.5000 0.5000
Si1 Si 0.2500 0.2500 0.7500
Si2 Si 0.2500 0.7500 0.2500
Si3 Si 0.7500 0.2500 0.2500
Si4 Si 0.7500 0.7500 0.7500
Pd1 Pd 0.2500 0.2500 0.2500
Pd2 Pd 0.2500 0.7500 0.7500
Pd3 Pd 0.7500 0.2500 0.7500
Pd4 Pd 0.7500 0.7500 0.2500



# PrZnSi2Pd5 (PBE, relaxed)
# E_form (uncorrected) ... -0.550 eV per atom
data_PrZnSi2Pd5
_cell_length_a 4.6994
_cell_length_b 4.6994
_cell_length_c 7.1369
_cell_angle_alpha 90.00
_cell_angle_beta 90.00
_cell_angle_gamma 90.00
_space_group_name_H-M_alt 'P 1'
_space_group_IT_number 1
_space_group_name_Hall 'P 1'
loop_
_atom_site_label
_atom_site_type_symbol
_atom_site_fract_x
_atom_site_fract_y
_atom_site_fract_z
Pr1 Pr 0.0000 0.0000 0.0000
Zn1 Zn 0.0000 0.0000 0.5000
Si1 Si 0.5000 0.5000 0.3412
Si2 Si 0.5000 0.5000 0.6588
Pd1 Pd 0.0000 0.5000 0.2778
Pd2 Pd 0.0000 0.5000 0.7222
Pd3 Pd 0.5000 0.0000 0.2778
Pd4 Pd 0.5000 0.0000 0.7222
Pd5 Pd 0.5000 0.5000 0.0000



# Pr2ZnSiPd6 (PBE, relaxed)
# E_form (uncorrected) ... -0.674 eV per atom
data_Pr2ZnSiPd6
_cell_length_a 5.5600
_cell_length_b 6.4328
_cell_length_c 6.7407
_cell_angle_alpha 77.52
_cell_angle_beta 65.79
_cell_angle_gamma 64.49
_space_group_name_H-M_alt 'P 1'
_space_group_IT_number 1
_space_group_name_Hall 'P 1'
loop_
_atom_site_label
_atom_site_type_symbol
_atom_site_fract_x
_atom_site_fract_y
_atom_site_fract_z
Pr1 Pr 0.2387 0.2358 0.2860
Pr2 Pr 0.7613 0.7642 0.7140
Zn1 Zn 0.5000 0.5000 0.5000
Si1 Si 0.0000 0.0000 0.0000
Pd1 Pd 0.2402 0.7752 0.2481
Pd2 Pd 0.2512 0.6032 0.8968
Pd3 Pd 0.2617 0.2259 0.7525
Pd4 Pd 0.7383 0.7741 0.2475
Pd5 Pd 0.7488 0.3968 0.1032
Pd6 Pd 0.7598 0.2248 0.7519



# PrZnSi2Pd (PBE, relaxed)
# E_form (uncorrected) ... -0.742 eV per atom
data_PrZnSi2Pd
_cell_length_a 4.1655
_cell_length_b 4.1655
_cell_length_c 10.3851
_cell_angle_alpha 90.00
_cell_angle_beta 90.00
_cell_angle_gamma 90.00
_space_group_name_H-M_alt 'P 1'
_space_group_IT_number 1
_space_group_name_Hall 'P 1'
loop_
_atom_site_label
_atom_site_type_symbol
_atom_site_fract_x
_atom_site_fract_y
_atom_site_fract_z
Pr1 Pr 0.0000 0.0000 0.0000
Pr2 Pr 0.5000 0.5000 0.5000
Zn1 Zn 0.0000 0.5000 0.7500
Zn2 Zn 0.5000 0.0000 0.2500
Si1 Si 0.0000 0.0000 0.3844
Si2 Si 0.0000 0.0000 0.6156
Si3 Si 0.5000 0.5000 0.1156
Si4 Si 0.5000 0.5000 0.8844
Pd1 Pd 0.0000 0.5000 0.2500
Pd2 Pd 0.5000 0.0000 0.7500



no.,volume (A^3/atom),raw total energy (Ry per atom),M_tot (μB/f.u.)
1,18.0,-0.4423,0.00
2,20.1,-0.4409,0.00
3,22.9,-0.4129,0.00
4,19.8,-0.4399,0.00
5,23.4,-0.4497,0.00
6,17.5,-0.3905,0.00
7,19.8,-0.3980,0.00
8,18.0,-0.3793,0.00